# Tc3RuN PBE-GGA optimized geometry
data_Tc3RuN
_space_group_name_H-M_alt 'P m -3 m'
_space_group_IT_number 221
_space_group_name_Hall '-P 4 2 3'
_cell_length_a 4.656
_cell_length_b 4.656
_cell_length_c 4.656
_cell_angle_alpha 90.00
_cell_angle_beta 90.00
_cell_angle_gamma 90.00
loop_
_atom_site_label
_atom_site_type_symbol
_atom_site_fract_x
_atom_site_fract_y
_atom_site_fract_z
_atom_site_occupancy
Tc1 Tc 0.000 0.000 0.500 1
Ru1 Ru 0.000 0.000 0.000 1
N1 N 0.500 0.500 0.500 1
# * mass density: 6.730 Mg/m³
# * E above lowest polymorph: 2781 meV per atom
# * DFT total energy: -6.8798 eV/atom
# * raw formation energy: 2860 meV per atom
# * calculated volume: 100.9 Å³ per cell